{"formula": "LaSc2", "functional": "GGA-PBEsol", "state": "optimized geometry", "lattice": [[6.068, -1.710, 0.000], [6.068, 1.710, 0.000], [-1.932, 0.000, 7.743]], "species": ["La", "La", "Sc", "Sc", "Sc", "Sc"], "frac_coords": [[0.000, 0.000, 0.000], [0.653, 0.653, 0.333], [0.042, 0.042, 0.610], [0.327, 0.327, 0.656], [0.373, 0.373, 0.272], [0.722, 0.722, 0.919]], "density_g_cm3": 4.728, "crystal_system": "monoclinic", "polymorph_energy_mev_per_atom": 30, "space_group": "Cm, No. 8", "e_tot_ev_per_atom": -6.10, "dos_at_fermi_per_ev_atom": 1.71, "ef_ev_per_atom": 0.086}